[1]
Computed, not measured: an optimized crystal structure of U4NbGa15 at the PBE level of DFT.

The structure in POSCAR format:
```
U4NbGa15
1.0
4.216 0.000 0.000
0.000 4.216 0.000
0.000 0.000 21.052
U Nb Ga
4 1 15
Cartesian
0.000 0.000 4.042
0.000 0.000 8.371
0.000 0.000 12.681
0.000 0.000 17.010
0.000 0.000 0.000
2.108 2.108 0.000
2.108 2.108 4.111
2.108 2.108 8.371
2.108 2.108 12.681
2.108 2.108 16.941
2.108 0.000 1.950
2.108 0.000 6.212
2.108 0.000 10.526
2.108 0.000 14.841
2.108 0.000 19.102
0.000 2.108 1.950
0.000 2.108 6.212
0.000 2.108 10.526
0.000 2.108 14.841
0.000 2.108 19.102
```

Calculated values
The formation energy comes out at -0.23 eV per atom. As for the mass density: 9.28 g cm⁻³. As for the crystal system: tetragonal.

[2]
Computed, not measured: an optimized crystal structure of U4NbGa12 at the PBE level of DFT.

The structure in POSCAR format:
```
U4NbGa12
1.0
7.065 0.000 -2.498
-3.533 6.119 -2.498
0.000 0.000 7.494
U Nb Ga
4 1 12
Cartesian
0.000 0.000 3.747
3.533 0.000 -1.249
1.766 3.059 1.249
-1.766 3.059 -1.249
0.000 0.000 0.000
-1.059 1.834 1.498
-2.474 4.284 3.498
2.474 4.284 -3.498
1.059 1.834 -1.498
2.118 0.000 1.498
4.947 0.000 3.498
2.649 1.530 3.747
0.883 4.589 -1.249
4.416 1.530 1.249
-0.883 4.589 1.249
3.533 3.059 -1.249
0.000 3.059 3.747
```

Calculated values
The formation energy comes out at -0.22 eV per atom. As for the mass density: 9.65 g cm⁻³. As for the crystal system: cubic.

| no. | DFT total energy (eV/atom) | spin magnetization (μB per atom) |
| --- | --- | --- |
| 1 | -5.262 | 0.433 |
| 2 | -5.606 | 0.493 |